A:
An optimized crystal structure of Na3GaP, computed with GGA-PBE.

Unit cell a=7.1423 b=7.1423 c=7.1423 alpha=100.23 beta=116.58 gamma=112.02
Fractional coordinates of all 10 atoms:
Na 0.2158 0.0421 0.2579
Na 0.2158 0.4579 0.6737
Na 0.6125 0.9406 0.1720
Na 0.7686 0.4406 0.8280
Na 0.7842 0.5421 0.3263
Na 0.7842 0.9579 0.7421
Ga 0.3173 0.0684 0.7489
Ga 0.3195 0.5684 0.2511
P 0.1128 0.7886 0.8242
P 0.9644 0.2886 0.1758

## Properties
As for the space-group type: Ima2 (46).

B:
An optimized crystal structure of Na3GaP, computed with GGA-PBE.

Unit cell a=5.3958 b=5.3958 c=5.3958 alpha=90.00 beta=90.00 gamma=90.00
Fractional coordinates of all 5 atoms:
Na 0.0000 0.0000 0.5000
Na 0.0000 0.5000 0.0000
Na 0.5000 0.0000 0.0000
Ga 0.5000 0.5000 0.5000
P 0.0000 0.0000 0.0000

## Properties
As for the space-group type: Pm-3m (221).

Here are the energies relative to the best structure, in eV/atom: A 0.000; B 0.238.

A:
An optimized crystal structure of Na2GaPPt, computed with GGA-PBE.

Unit cell a=5.4755 b=5.4755 c=4.3988 alpha=90.00 beta=90.00 gamma=90.00
Fractional coordinates of all 5 atoms:
Na 0.0000 0.5000 0.0000
Na 0.5000 0.0000 0.0000
Ga 0.0000 0.0000 0.0000
P 0.0000 0.0000 0.5000
Pt 0.5000 0.5000 0.5000

## Properties
As for the space-group type: P4/mmm (123).

B:
An optimized crystal structure of Na2GaPPt, computed with GGA-PBE.

Unit cell a=5.4931 b=5.4931 c=4.3927 alpha=90.00 beta=90.00 gamma=90.00
Fractional coordinates of all 5 atoms:
Na 0.0000 0.5000 0.0000
Na 0.5000 0.0000 0.0000
Ga 0.0000 0.0000 0.5000
P 0.5000 0.5000 0.5000
Pt 0.5000 0.5000 0.0000

## Properties
As for the space-group type: P4/mmm (123).

Here are the energies relative to the best structure, in eV/atom: A 0.732; B 0.000.

A:
An optimized crystal structure of NaGaP2S, computed with GGA-PBE.

Unit cell a=4.7502 b=4.7502 c=5.0210 alpha=90.00 beta=90.00 gamma=90.00
Fractional coordinates of all 5 atoms:
Na 0.0000 0.0000 0.0000
Ga 0.5000 0.5000 0.5000
P 0.0000 0.5000 0.5000
P 0.5000 0.0000 0.5000
S 0.5000 0.5000 0.0000

## Properties
As for the space-group type: P4/mmm (123).

B:
An optimized crystal structure of NaGaP2S, computed with GGA-PBE.

Unit cell a=4.9569 b=4.9569 c=4.9208 alpha=90.00 beta=90.00 gamma=90.00
Fractional coordinates of all 5 atoms:
Na 0.0000 0.0000 0.0000
Ga 0.5000 0.5000 0.5000
P 0.0000 0.5000 0.0000
P 0.5000 0.0000 0.0000
S 0.0000 0.0000 0.5000

## Properties
As for the space-group type: P4/mmm (123).

Here are the energies relative to the best structure, in eV/atom: A 0.000; B 0.755.

A:
An optimized crystal structure of NaPaGa4, computed with GGA-PBE.

Unit cell a=3.1999 b=4.5846 c=8.1278 alpha=90.00 beta=90.00 gamma=90.00
Fractional coordinates of all 6 atoms:
Na 0.0000 0.0000 0.0000
Pa 0.0000 0.5000 0.5000
Ga 0.5000 0.0000 0.3341
Ga 0.5000 0.0000 0.6659
Ga 0.5000 0.5000 0.1635
Ga 0.5000 0.5000 0.8365

## Properties
As for the space-group type: Pmmm (47).

B:
An optimized crystal structure of NaPaGa4, computed with GGA-PBE.

Unit cell a=5.5159 b=5.5159 c=5.5159 alpha=60.00 beta=60.00 gamma=60.00
Fractional coordinates of all 6 atoms:
Na 0.0000 0.0000 0.0000
Pa 0.7500 0.7500 0.7500
Ga 0.3756 0.3756 0.3756
Ga 0.3756 0.3756 0.8731
Ga 0.3756 0.8731 0.3756
Ga 0.8731 0.3756 0.3756

## Properties
As for the space-group type: F-43m (216).

Here are the energies relative to the best structure, in eV/atom: A 0.000; B 0.139.